1.
DFT (GGA-PBE) results for an optimized crystal structure of La3Nd4ScSe8.

The formation energy (no corrections) is -1.843 eV/atom. Its crystal system is trigonal. For the density of states at the Fermi level, the calculation gives 31.985 states/eV per cell.

The space group is R-3m (No. 166, hexagonal axes) and the conventional cell measures 8.4552, 8.4552 and 20.6971 Å, with angles of 90.00, 90.00 and 120.00 degrees. The distinct sites, in fractional coordinates, are La at (0.0000, 0.5000, 0.0000), Nd at (0.0000, 0.0000, 0.5000), Nd at (0.0000, 0.5000, 0.5000), Sc at (0.0000, 0.0000, 0.0000), Se at (0.0000, 0.0000, 0.2484) and Se at (0.0153, 0.5076, 0.7476).



2.
DFT (GGA-PBE) results for an optimized crystal structure of LaNd2Sm5Sc.

As for the formation energy from the elements: 273 meV per atom. Its crystal system is tetragonal. For the density of states at the Fermi level, the calculation gives 52.276 states/eV per cell.

The space group is I4/mcm (No. 140) and the conventional cell measures 8.814, 8.814 and 15.698 Å, with angles of 90.00, 90.00 and 90.00 degrees. The distinct sites, in fractional coordinates, are La at (0.000, 0.000, 0.250), Nd at (0.119, 0.381, 0.000), Sm at (0.000, 0.000, 0.000), Sm at (0.205, 0.295, 0.360) and Sc at (0.000, 0.500, 0.250).



3.
DFT (GGA-PBE) results for an optimized crystal structure of LaNd2SmSc.

As for the formation energy from the elements: 174 meV per atom. Its crystal system is orthorhombic. For the density of states at the Fermi level, the calculation gives 12.302 states/eV per cell.

The space group is Pmma (No. 51) and the conventional cell measures 6.347, 7.926 and 6.703 Å, with angles of 90.00, 90.00 and 90.00 degrees. The distinct sites, in fractional coordinates, are La at (0.250, 0.000, 0.187), Nd at (0.250, 0.206, 0.709), Sm at (0.250, 0.500, 0.090) and Sc at (0.000, 0.500, 0.500).



Calculated spin magnetization in order - 0.000; 0.001; 0.000 μB per formula unit